1.
{
  "formula": "BaMn2Ag",
  "functional": "PBE-GGA",
  "state": "optimized geometry",
  "cell": [[-1.678, 2.750, 5.343], [1.678, -2.750, 5.343], [1.678, 2.750, -5.343]],
  "species": ["Ba", "Mn", "Mn", "Ag"],
  "frac_coords": [[0.000, 0.000, 0.000], [0.288, 0.788, 0.500], [0.712, 0.212, 0.500], [0.500, 0.500, 0.000]],
  "energy_ev_per_atom": -5.114,
  "formation_enthalpy_0k_ev_per_atom": 0.664,
  "dos_ef_per_ev_fu": 4.244,
  "space_group": "Immm (71)"
}

2.
{
  "formula": "BaMn2Ag",
  "functional": "PBE-GGA",
  "state": "optimized geometry",
  "cell": [[3.121, -5.403, 0.000], [3.121, 5.403, 0.000], [-1.609, 0.000, 2.818]],
  "species": ["Ba", "Mn", "Mn", "Ag"],
  "frac_coords": [[0.000, 0.000, 0.000], [0.000, 0.500, 0.500], [0.500, 0.000, 0.500], [0.500, 0.500, 0.000]],
  "energy_ev_per_atom": -4.959,
  "formation_enthalpy_0k_ev_per_atom": 0.819,
  "dos_ef_per_ev_fu": 4.259,
  "space_group": "C2/m (12)"
}

3.
{
  "formula": "BaMnAg2",
  "functional": "PBE-GGA",
  "state": "optimized geometry",
  "cell": [[4.075, -2.354, 0.000], [4.075, 2.354, 0.000], [-2.722, 0.000, 5.797]],
  "species": ["Ba", "Mn", "Ag", "Ag"],
  "frac_coords": [[0.000, 0.000, 0.000], [0.193, 0.193, 0.579], [0.516, 0.516, 0.550], [0.803, 0.803, 0.410]],
  "energy_ev_per_atom": -4.080,
  "formation_enthalpy_0k_ev_per_atom": 0.118,
  "de_polymorph_ev_per_atom": 0.045,
  "dos_ef_per_ev_fu": 2.811,
  "space_group": "Cm (8)"
}

4.
{
  "formula": "BaMn2Ag",
  "functional": "PBE-GGA",
  "state": "optimized geometry",
  "cell": [[1.671, 0.964, 9.953], [-1.671, 0.964, 9.953], [0.000, -1.929, 9.953]],
  "species": ["Ba", "Mn", "Mn", "Ag"],
  "frac_coords": [[0.000, 0.000, 0.000], [0.234, 0.234, 0.234], [0.766, 0.766, 0.766], [0.500, 0.500, 0.500]],
  "energy_ev_per_atom": -4.938,
  "formation_enthalpy_0k_ev_per_atom": 0.841,
  "dos_ef_per_ev_fu": 4.959,
  "space_group": "R-3m (166)"
}